# 1
# SmFe2Co3 | Alexandria via LeMat-Bulk | PBE | optimized geometry
# Total magnetic moment = 1.13 μB per atom
# Raw total energy = -7.156 eV/atom
# Volume = 14.8 A^3/atom
data_SmFe2Co3
_cell_length_a 6.214
_cell_length_b 6.214
_cell_length_c 4.672
_cell_angle_alpha 90.00
_cell_angle_beta 90.00
_cell_angle_gamma 79.16
_symmetry_space_group_name_H-M 'P 1'
_symmetry_Int_Tables_number 1
loop_
_symmetry_equiv_pos_as_xyz
'x,y,z'
loop_
_atom_site_label
_atom_site_fract_x
_atom_site_fract_y
_atom_site_fract_z
_atom_site_occupancy
Sm1 0.186 0.814 0.750 1
Sm2 0.814 0.186 0.250 1
Fe1 0.286 0.286 0.000 1
Fe2 0.286 0.286 0.500 1
Fe3 0.714 0.714 0.000 1
Fe4 0.714 0.714 0.500 1
Co1 0.038 0.562 0.250 1
Co2 0.435 0.565 0.250 1
Co3 0.438 0.962 0.250 1
Co4 0.562 0.038 0.750 1
Co5 0.565 0.435 0.750 1
Co6 0.962 0.438 0.750 1

---

# 2
# Pr6Sb5Se | Alexandria via LeMat-Bulk | PBE | optimized geometry
# Formation energy without anion corrections = -15.78 eV/f.u.
# Total magnetic moment = 0.00 μB per atom
# Raw total energy = -5.713 eV/atom
# Volume = 32.5 A^3/atom
data_Pr6Sb5Se
_cell_length_a 7.818
_cell_length_b 7.818
_cell_length_c 7.820
_cell_angle_alpha 99.60
_cell_angle_beta 99.60
_cell_angle_gamma 119.95
_symmetry_space_group_name_H-M 'P 1'
_symmetry_Int_Tables_number 1
loop_
_symmetry_equiv_pos_as_xyz
'x,y,z'
loop_
_atom_site_label
_atom_site_fract_x
_atom_site_fract_y
_atom_site_fract_z
_atom_site_occupancy
Pr1 0.082 0.411 0.747 1
Pr2 0.245 0.245 0.250 1
Pr3 0.411 0.082 0.747 1
Pr4 0.589 0.918 0.253 1
Pr5 0.755 0.755 0.750 1
Pr6 0.918 0.589 0.253 1
Sb1 0.169 0.831 0.000 1
Sb2 0.334 0.666 0.500 1
Sb3 0.500 0.500 0.000 1
Sb4 0.666 0.334 0.500 1
Sb5 0.831 0.169 0.000 1
Se1 0.000 0.000 0.500 1

---

# 3
# LuCd2Ag | Alexandria via LeMat-Bulk | PBE | optimized geometry
# Total magnetic moment = 0.00 μB per atom
# Raw total energy = -2.476 eV/atom
# Volume = 22.4 A^3/atom
data_LuCd2Ag
_cell_length_a 4.413
_cell_length_b 4.413
_cell_length_c 4.602
_cell_angle_alpha 90.00
_cell_angle_beta 90.00
_cell_angle_gamma 90.00
_symmetry_space_group_name_H-M 'P 1'
_symmetry_Int_Tables_number 1
loop_
_symmetry_equiv_pos_as_xyz
'x,y,z'
loop_
_atom_site_label
_atom_site_fract_x
_atom_site_fract_y
_atom_site_fract_z
_atom_site_occupancy
Lu1 0.000 0.000 0.000 1
Cd1 0.000 0.500 0.500 1
Cd2 0.500 0.000 0.500 1
Ag1 0.500 0.500 0.000 1

---

# 4
# Y2ThCd | Alexandria via LeMat-Bulk | PBE | optimized geometry
# Total magnetic moment = 0.00 μB per atom
# Distance to the lowest polymorph of the same formula = 0.1407 eV/atom
# Raw total energy = -5.349 eV/atom
# Volume = 29.4 A^3/atom
data_Y2ThCd
_cell_length_a 4.911
_cell_length_b 4.911
_cell_length_c 4.872
_cell_angle_alpha 90.00
_cell_angle_beta 90.00
_cell_angle_gamma 90.00
_symmetry_space_group_name_H-M 'P 1'
_symmetry_Int_Tables_number 1
loop_
_symmetry_equiv_pos_as_xyz
'x,y,z'
loop_
_atom_site_label
_atom_site_fract_x
_atom_site_fract_y
_atom_site_fract_z
_atom_site_occupancy
Y1 0.000 0.500 0.000 1
Y2 0.500 0.000 0.000 1
Th1 0.000 0.000 0.500 1
Cd1 0.500 0.500 0.500 1